(1)
Here is a relaxed structure of Nd3Dy4Ho5 from Alexandria. Energies are from PBE.

Cell and atoms, written as POSCAR:
```
Nd3Dy4Ho5
1.0
-6.7475 -1.0841 2.0510
9.2014 -6.1438 2.2027
-8.1758 9.5013 2.8800
Ho Dy Nd
5 4 3
Direct
0.5000 0.0000 0.5000
0.6677 0.3324 0.1650
0.3323 0.6676 0.8350
0.7491 0.5014 0.0011
0.2509 0.4986 0.9989
0.9177 0.8353 0.6684
0.8323 0.6655 0.8333
0.0823 0.1647 0.3316
0.1677 0.3345 0.1667
0.5845 0.1672 0.3334
0.4155 0.8328 0.6666
0.0000 0.0000 0.5000
```

Calculated values
Its space group is P-1, No. 2. Its energy relative to the elements is 0.0176 eV per atom. The calculation puts the density of states at the Fermi level at 15.49 states/eV per cell. The volume comes out at 385 Å³ per cell.

(2)
Here is a relaxed structure of ZnSe2O4 from Alexandria. Energies are from PBE.

Cell and atoms, written as POSCAR:
```
ZnSe2O4
1.0
6.9891 0.0000 0.0000
0.0000 7.9767 0.0000
0.0000 0.0000 7.9767
O Se Zn
16 8 4
Direct
0.2500 0.6871 0.8129
0.7500 0.8129 0.3129
0.0000 0.1326 0.3969
0.5000 0.1031 0.3674
0.5000 0.8969 0.6326
0.5000 0.6031 0.1326
0.0000 0.8674 0.6031
0.2500 0.1871 0.6871
0.0000 0.6326 0.1031
0.7500 0.6871 0.8129
0.7500 0.1871 0.6871
0.0000 0.3674 0.8969
0.2500 0.3129 0.1871
0.5000 0.3969 0.8674
0.7500 0.3129 0.1871
0.2500 0.8129 0.3129
0.5000 0.6869 0.7022
0.0000 0.2978 0.6869
0.0000 0.7022 0.3131
0.5000 0.1869 0.7978
0.5000 0.3131 0.2978
0.0000 0.7978 0.8131
0.0000 0.2022 0.1869
0.5000 0.8131 0.2022
0.2500 0.0000 0.5000
0.7500 0.5000 0.0000
0.2500 0.5000 0.0000
0.7500 0.0000 0.5000
```

Calculated values
Its space group is P4_2/mbc, No. 135. The calculation puts the density of states at the Fermi level at 4.87 states/eV per cell. The volume comes out at 445 Å³ per cell. For the formation energy (no corrections), the calculation gives -0.65 eV per atom.

(3)
Here is a relaxed structure of K2GaHg from Alexandria. Energies are from PBE.

Cell and atoms, written as POSCAR:
```
K2GaHg
1.0
0.0000 4.1686 4.1686
4.1686 0.0000 4.1686
4.1686 4.1686 0.0000
Ga Hg K
1 1 2
Direct
0.0000 0.0000 0.0000
0.5000 0.5000 0.5000
0.7500 0.7500 0.7500
0.2500 0.2500 0.2500
```

Calculated values
Its space group is Fm-3m, No. 225. Its energy relative to the elements is 0.0537 eV per atom. The calculation puts the density of states at the Fermi level at 4.30 states/eV per cell. The volume comes out at 145 Å³ per cell.

(4)
Here is a relaxed structure of PrYHoAg from Alexandria. Energies are from PBE.

Cell and atoms, written as POSCAR:
```
PrYHoAg
1.0
-1.3514 4.0762 -3.3645
-4.5753 2.8438 0.8603
0.2840 5.1679 1.7242
Pr Ag Ho Y
1 1 1 1
Direct
0.2500 0.2500 0.2500
0.0000 0.0000 0.0000
0.5000 0.5000 0.5000
0.7500 0.7500 0.7500
```

Calculated values
Its space group is F-43m, No. 216. Its energy relative to the elements is 0.0647 eV per atom. The calculation puts the density of states at the Fermi level at 4.32 states/eV per cell. The volume comes out at 115 Å³ per cell.